[1]
{"formula": "MgCdNiSn", "functional": "PBE", "state": "optimized geometry", "e_tot_ev_per_atom": -2.983, "magnetic_moment_mub_per_cell": 0.00, "lattice_angstrom": [[0.0000, 3.3280, 3.3280], [3.3280, 0.0000, 3.3280], [3.3280, 3.3280, 0.0000]], "species": ["Mg", "Cd", "Ni", "Sn"], "frac_coords": [[0.0000, 0.0000, 0.0000], [0.7500, 0.7500, 0.7500], [0.5000, 0.5000, 0.5000], [0.2500, 0.2500, 0.2500]]}

[2]
{"formula": "LaMoPb", "functional": "PBE", "state": "optimized geometry", "e_tot_ev_per_atom": -5.371, "magnetic_moment_mub_per_cell": 4.01, "lattice_angstrom": [[0.0000, 3.6649, 3.6649], [3.6649, 0.0000, 3.6649], [3.6649, 3.6649, 0.0000]], "species": ["La", "Mo", "Pb"], "frac_coords": [[0.0000, 0.0000, 0.0000], [0.7500, 0.7500, 0.7500], [0.2500, 0.2500, 0.2500]]}

[3]
{"formula": "TmZrRe", "functional": "PBE", "state": "optimized geometry", "ef_ev_per_atom": 0.81, "e_tot_ev_per_atom": -7.669, "magnetic_moment_mub_per_cell": 0.00, "lattice_angstrom": [[0.0000, 3.2673, 3.2673], [3.2673, 0.0000, 3.2673], [3.2673, 3.2673, 0.0000]], "species": ["Tm", "Zr", "Re"], "frac_coords": [[0.0000, 0.0000, 0.0000], [0.7500, 0.7500, 0.7500], [0.5000, 0.5000, 0.5000]]}

[4]
{"formula": "Li5SnHg4", "functional": "PBE", "state": "optimized geometry", "e_tot_ev_per_atom": -1.838, "lattice_angstrom": [[3.3255, 0.0000, 0.0000], [0.0000, 3.3255, 0.0000], [0.0000, 0.0000, 16.6603]], "species": ["Li", "Li", "Li", "Li", "Li", "Sn", "Hg", "Hg", "Hg", "Hg"], "frac_coords": [[0.0000, 0.0000, 0.0000], [0.0000, 0.0000, 0.1980], [0.0000, 0.0000, 0.3930], [0.0000, 0.0000, 0.6070], [0.0000, 0.0000, 0.8020], [0.5000, 0.5000, 0.5000], [0.5000, 0.5000, 0.0989], [0.5000, 0.5000, 0.2961], [0.5000, 0.5000, 0.7039], [0.5000, 0.5000, 0.9011]]}

[5]
{"formula": "Rb2NaIrCl6", "functional": "PBE", "state": "optimized geometry", "e_tot_ev_per_atom": -3.660, "magnetic_moment_mub_per_cell": 0.00, "lattice_angstrom": [[-3.5830, 3.5830, 5.1204], [3.5830, -3.5830, 5.1204], [3.5830, 3.5830, -5.1204]], "species": ["Rb", "Rb", "Na", "Ir", "Cl", "Cl", "Cl", "Cl", "Cl", "Cl"], "frac_coords": [[0.2500, 0.7500, 0.5000], [0.7500, 0.2500, 0.5000], [0.0000, 0.0000, 0.0000], [0.5000, 0.5000, 0.0000], [0.2426, 0.2933, 0.5359], [0.2688, 0.2688, 0.0000], [0.2933, 0.7574, 0.0507], [0.7067, 0.2426, 0.9493], [0.7312, 0.7312, 0.0000], [0.7574, 0.7067, 0.4641]]}

[6]
{"formula": "Co2Sn3", "functional": "PBE", "state": "optimized geometry", "e_tot_ev_per_atom": -5.249, "magnetic_moment_mub_per_cell": 0.50, "lattice_angstrom": [[3.0956, 1.7872, 5.8817], [-3.0956, 1.7872, 5.8817], [0.0000, -3.5744, 5.8817]], "species": ["Co", "Co", "Co", "Co", "Sn", "Sn", "Sn", "Sn", "Sn", "Sn"], "frac_coords": [[0.1720, 0.1720, 0.1720], [0.3280, 0.3280, 0.3280], [0.6720, 0.6720, 0.6720], [0.8280, 0.8280, 0.8280], [0.1017, 0.7500, 0.3983], [0.2500, 0.6017, 0.8983], [0.3983, 0.1017, 0.7500], [0.6017, 0.8983, 0.2500], [0.7500, 0.3983, 0.1017], [0.8983, 0.2500, 0.6017]]}

[7]
{"formula": "ZnPdSeO", "functional": "PBE", "state": "optimized geometry", "e_tot_ev_per_atom": -4.313, "lattice_angstrom": [[6.0815, 0.0000, 0.0000], [0.0000, 13.3341, 0.0000], [0.0000, 0.0000, 6.6863]], "species": ["Zn", "Zn", "Zn", "Zn", "Zn", "Zn", "Zn", "Zn", "Pd", "Pd", "Pd", "Pd", "Pd", "Pd", "Pd", "Pd", "Se", "Se", "Se", "Se", "Se", "Se", "Se", "Se", "O", "O", "O", "O", "O", "O", "O", "O"], "frac_coords": [[0.0280, 0.2495, 0.1345], [0.0280, 0.2505, 0.6345], [0.4720, 0.7495, 0.1345], [0.4720, 0.7505, 0.6345], [0.5280, 0.2495, 0.3655], [0.5280, 0.2505, 0.8655], [0.9720, 0.7495, 0.3655], [0.9720, 0.7505, 0.8655], [0.2362, 0.5768, 0.0221], [0.2362, 0.9232, 0.5221], [0.2638, 0.0768, 0.0221], [0.2638, 0.4232, 0.5221], [0.7362, 0.5768, 0.4779], [0.7362, 0.9232, 0.9779], [0.7638, 0.0768, 0.4779], [0.7638, 0.4232, 0.9779], [0.0006, 0.0125, 0.7576], [0.0006, 0.4875, 0.2576], [0.4994, 0.5125, 0.7576], [0.4994, 0.9875, 0.2576], [0.5006, 0.0125, 0.7424], [0.5006, 0.4875, 0.2424], [0.9994, 0.5125, 0.7424], [0.9994, 0.9875, 0.2424], [0.2039, 0.2501, 0.3824], [0.2039, 0.2499, 0.8824], [0.2961, 0.7501, 0.3824], [0.2961, 0.7499, 0.8824], [0.7039, 0.2501, 0.1176], [0.7039, 0.2499, 0.6176], [0.7961, 0.7501, 0.1176], [0.7961, 0.7499, 0.6176]]}

[8]
{"formula": "SmTaBe", "functional": "PBE", "state": "optimized geometry", "e_tot_ev_per_atom": -6.067, "magnetic_moment_mub_per_cell": 0.02, "lattice_angstrom": [[0.0000, 3.1408, 3.1408], [3.1408, 0.0000, 3.1408], [3.1408, 3.1408, 0.0000]], "species": ["Sm", "Ta", "Be"], "frac_coords": [[0.0000, 0.0000, 0.0000], [0.5000, 0.5000, 0.5000], [0.2500, 0.2500, 0.2500]]}